This record from the Open Quantum Materials Database describes crystalline LiCd2Ag at its relaxed geometry. The functional is PBE-GGA.

Uncorrected energy = -1.72 eV/atom

a = 4.558 Å, b = 4.558 Å, c = 8.730 Å
α = 90.00°, β = 90.00°, γ = 120.00°
Positions (direct):
1 Ag 0.000 0.000 0.250
2 Ag 0.000 0.000 0.750
3 Cd 0.333 0.667 0.080
4 Cd 0.333 0.667 0.420
5 Cd 0.667 0.333 0.580
6 Cd 0.667 0.333 0.920
7 Li 0.667 0.333 0.250
8 Li 0.333 0.667 0.750